Entry from Alexandria: a geometry-optimized CsPuAl2Br8 structure (PBE-GGA).

Properties
Energy relative to the elements, uncorrected ... -1.150 eV/atom
Spin magnetization ... 6.920 μB/f.u.

extended XYZ file:
```
12
Lattice="3.5786 2.0661 10.2808 -3.5786 2.0661 10.2808 0.0000 -4.1322 10.2808" Properties=species:S:1:pos:R:3 pbc="T T T"
Cs 0.0000 0.0000 0.0000
Pu 0.0000 0.0000 15.4211
Al 0.0000 0.0000 7.6623
Al 0.0000 0.0000 23.1800
Br -1.2492 -2.1122 13.6558
Br -2.4539 0.0257 17.1865
Br 0.0000 0.0000 10.0263
Br -1.2047 2.1380 13.6559
Br 1.2047 -2.1380 17.1864
Br 0.0000 0.0000 20.8160
Br 2.4538 -0.0257 13.6558
Br 1.2492 2.1122 17.1865
```


Entry from Alexandria: a geometry-optimized CsRb2AlBr structure (PBE-GGA).

Properties
Energy relative to the elements, uncorrected ... -0.094 eV/atom
Spin magnetization ... 0.000 μB/f.u.

extended XYZ file:
```
5
Lattice="7.1392 0.0000 0.0000 0.0000 7.1392 0.0000 0.0000 0.0000 6.1770" Properties=species:S:1:pos:R:3 pbc="T T T"
Cs 0.0000 0.0000 0.0000
Rb 0.0000 3.5696 3.0885
Rb 3.5696 0.0000 3.0885
Al 3.5696 3.5696 3.0885
Br 3.5696 3.5696 0.0000
```


Entry from Alexandria: a geometry-optimized Cs2RbAlBr6 structure (PBE-GGA).

Properties
Energy relative to the elements, uncorrected ... -1.517 eV/atom
Spin magnetization ... 0.000 μB/f.u.

extended XYZ file:
```
10
Lattice="7.8628 0.0000 0.0000 -3.9314 6.8094 0.0000 0.0000 0.0000 8.4028" Properties=species:S:1:pos:R:3 pbc="T T T"
Cs 0.0000 4.5396 1.2239
Cs 3.9314 2.2698 7.1789
Rb 0.0000 0.0000 4.2014
Al 0.0000 0.0000 0.0000
Br 0.0000 2.0824 6.9212
Br -2.1280 5.7682 6.9212
Br 1.8034 1.0412 1.4815
Br 2.1280 5.7682 6.9212
Br 6.0594 1.0412 1.4815
Br 3.9314 4.7270 1.4815
```


Entry from Alexandria: a geometry-optimized CsRbAl2Br8 structure (PBE-GGA).

Properties
Energy relative to the elements, uncorrected ... -1.426 eV/atom
Spin magnetization ... 0.000 μB/f.u.

extended XYZ file:
```
12
Lattice="3.6841 2.1270 10.4979 -3.6841 2.1270 10.4979 0.0000 -4.2540 10.4979" Properties=species:S:1:pos:R:3 pbc="T T T"
Cs 0.0000 0.0000 0.0000
Rb 0.0000 0.0000 15.7468
Al 0.0000 0.0000 8.0691
Al 0.0000 0.0000 23.4245
Br -1.5209 -2.5398 13.6931
Br -2.9600 0.0472 17.8005
Br 0.0000 0.0000 10.3947
Br -1.4391 2.5871 13.6931
Br 1.4391 -2.5871 17.8005
Br 0.0000 0.0000 21.0989
Br 2.9600 -0.0472 13.6931
Br 1.5209 2.5398 17.8005
```


Entry from Alexandria: a geometry-optimized Cs2RbAlBr6 structure (PBE-GGA).

Properties
Energy relative to the elements, uncorrected ... -1.507 eV/atom
Spin magnetization ... 0.000 μB/f.u.

extended XYZ file:
```
10
Lattice="0.0000 5.8092 5.8092 5.8092 0.0000 5.8092 5.8092 5.8092 0.0000" Properties=species:S:1:pos:R:3 pbc="T T T"
Cs 2.9046 2.9046 2.9046
Cs 8.7138 8.7138 8.7138
Rb 0.0000 0.0000 0.0000
Al 5.8092 5.8092 5.8092
Br 5.8092 5.8092 3.2775
Br 5.8092 3.2775 5.8092
Br 8.3409 5.8092 5.8092
Br 3.2775 5.8092 5.8092
Br 5.8092 8.3409 5.8092
Br 5.8092 5.8092 8.3409
```


Entry from Alexandria: a geometry-optimized Cs2AlReBr6 structure (PBE-GGA).

Properties
Energy relative to the elements, uncorrected ... -0.784 eV/atom
Spin magnetization ... 2.000 μB/f.u.

extended XYZ file:
```
10
Lattice="0.0000 5.5406 5.5406 5.5406 0.0000 5.5406 5.5406 5.5406 0.0000" Properties=species:S:1:pos:R:3 pbc="T T T"
Cs 2.7703 2.7703 2.7703
Cs 8.3110 8.3110 8.3110
Al 0.0000 0.0000 0.0000
Re 5.5406 5.5406 5.5406
Br 5.5406 5.5406 2.9566
Br 5.5406 2.9566 5.5406
Br 8.1247 5.5406 5.5406
Br 2.9566 5.5406 5.5406
Br 5.5406 8.1247 5.5406
Br 5.5406 5.5406 8.1247
```